*A*
V2CrCuBr: relaxed, PBE.

Crystal system ... monoclinic
Total moment ... 0.00 μB/atom

a = 3.248 Å, b = 3.992 Å, c = 6.467 Å
α = 90.00°, β = 90.33°, γ = 90.00°
Atoms (fractional coordinates):
V  0.000  0.000  0.000
V  0.005  0.500  0.300
Cr  0.498  0.500  0.045
Cu  0.504  0.000  0.298
Br  0.000  0.500  0.716

---

*B*
V2CrCuBr: relaxed, PBE.

Crystal system ... triclinic
Total moment ... 0.00 μB/atom

a = 3.006 Å, b = 3.833 Å, c = 7.635 Å
α = 97.18°, β = 95.47°, γ = 90.52°
Atoms (fractional coordinates):
V  0.000  0.000  0.000
V  0.444  0.529  0.153
Cr  0.573  0.465  0.884
Cu  0.955  0.069  0.321
Br  0.009  0.112  0.654

---

*C*
V2CrCuBr: relaxed, PBE.

Crystal system ... orthorhombic
Total moment ... 0.38 μB/atom

a = 3.059 Å, b = 8.776 Å, c = 8.776 Å
α = 20.48°, β = 90.00°, γ = 90.00°
Atoms (fractional coordinates):
V  0.000  0.000  0.000
V  0.500  0.424  0.424
Cr  0.500  0.578  0.578
Cu  0.000  0.837  0.837
Br  0.000  0.691  0.691

---

Least stable: *B*

---

*A*
V2CrCuBr: relaxed, PBE.

Crystal system ... monoclinic
Total moment ... 0.00 μB/atom

a = 6.646 Å, b = 6.646 Å, c = 2.967 Å
α = 90.37°, β = 90.37°, γ = 36.36°
Atoms (fractional coordinates):
V  0.000  0.000  0.000
V  0.594  0.594  0.744
Cr  0.445  0.445  0.399
Cu  0.175  0.175  0.353
Br  0.822  0.822  0.498

---

*B*
V2CrCuBr: relaxed, PBE.

Crystal system ... monoclinic
Total moment ... 0.00 μB/atom

a = 8.264 Å, b = 8.264 Å, c = 3.463 Å
α = 101.88°, β = 101.88°, γ = 22.12°
Atoms (fractional coordinates):
V  0.000  0.000  0.000
V  0.121  0.121  0.619
Cr  0.503  0.503  0.503
Cu  0.875  0.875  0.379
Br  0.719  0.719  0.217

---

*C*
V2CrCuBr: relaxed, PBE.

Crystal system ... monoclinic
Total moment ... 0.00 μB/atom

a = 2.998 Å, b = 2.998 Å, c = 8.917 Å
α = 93.66°, β = 93.66°, γ = 80.15°
Atoms (fractional coordinates):
V  0.000  0.000  0.000
V  0.092  0.092  0.316
Cr  0.551  0.551  0.153
Cu  0.469  0.469  0.818
Br  0.495  0.495  0.521

---

Least stable: *B*